! Tb6InNi2, relaxed, DFT GGA-PBE; values from VASP
! Uncorrected energy: -0.182 Ha/atom
! Total moment: 0.00 μB/f.u.
! Crystal system: orthorhombic
&SYSTEM
  ibrav = 0, nat = 18, ntyp = 3
/
ATOMIC_SPECIES
Tb 158.93 Tb.upf
Ni 58.69 Ni.upf
In 114.82 In.upf
CELL_PARAMETERS angstrom
-4.659 4.885 5.086
4.659 -4.885 5.086
4.659 4.885 -5.086
ATOMIC_POSITIONS crystal
Tb 0.970 0.767 0.203
Tb 0.183 0.708 0.891
Tb 0.436 0.233 0.203
Tb 0.324 0.632 0.308
Tb 0.817 0.292 0.109
Tb 0.817 0.708 0.524
Tb 0.564 0.767 0.797
Tb 0.676 0.984 0.308
Tb 0.030 0.233 0.797
Tb 0.183 0.292 0.476
Tb 0.324 0.016 0.692
Tb 0.676 0.368 0.692
Ni 0.647 0.000 0.647
Ni 0.122 0.622 0.500
Ni 0.353 0.000 0.353
Ni 0.878 0.378 0.500
In 0.000 0.000 0.000
In 0.500 0.500 0.000



! Tb11In9Ni4, relaxed, DFT GGA-PBE; values from VASP
! Uncorrected energy: -0.169 Ha/atom
! Total moment: 0.00 μB/f.u.
! Crystal system: orthorhombic
&SYSTEM
  ibrav = 0, nat = 24, ntyp = 3
/
ATOMIC_SPECIES
Tb 158.93 Tb.upf
In 114.82 In.upf
Ni 58.69 Ni.upf
CELL_PARAMETERS angstrom
0.000 0.000 3.654
7.241 -10.874 0.000
7.241 10.874 0.000
ATOMIC_POSITIONS crystal
Tb 0.000 0.625 0.375
Tb 0.000 0.417 0.080
Tb 0.000 0.920 0.583
Tb 0.000 0.375 0.625
Tb 0.000 0.080 0.417
Tb 0.000 0.839 0.161
Tb 0.000 0.000 0.000
Tb 0.000 0.687 0.687
Tb 0.000 0.161 0.839
Tb 0.000 0.313 0.313
Tb 0.000 0.583 0.920
In 0.500 0.159 0.632
In 0.500 0.368 0.841
In 0.500 0.500 0.500
In 0.500 0.078 0.219
In 0.500 0.781 0.922
In 0.500 0.632 0.159
In 0.500 0.841 0.368
In 0.500 0.922 0.781
In 0.500 0.219 0.078
Ni 0.500 0.248 0.449
Ni 0.500 0.752 0.551
Ni 0.500 0.449 0.248
Ni 0.500 0.551 0.752



! TbInNiTe3, relaxed, DFT GGA-PBE; values from VASP
! Uncorrected energy: -0.160 Ha/atom
! Total moment: 0.00 μB/f.u.
! Crystal system: orthorhombic
&SYSTEM
  ibrav = 0, nat = 24, ntyp = 4
/
ATOMIC_SPECIES
Te 127.60 Te.upf
Ni 58.69 Ni.upf
Tb 158.93 Tb.upf
In 114.82 In.upf
CELL_PARAMETERS angstrom
12.432 0.000 0.000
0.000 4.106 0.000
0.000 0.000 12.659
ATOMIC_POSITIONS crystal
Te 0.129 0.000 0.979
Te 0.629 0.500 0.521
Te 0.283 0.500 0.725
Te 0.717 0.000 0.275
Te 0.783 0.000 0.775
Te 0.443 0.000 0.103
Te 0.057 0.000 0.603
Te 0.871 0.500 0.021
Te 0.371 0.000 0.479
Te 0.943 0.500 0.397
Te 0.557 0.500 0.897
Te 0.217 0.500 0.225
Ni 0.660 0.500 0.720
Ni 0.840 0.500 0.220
Ni 0.160 0.000 0.780
Ni 0.340 0.000 0.280
Tb 0.306 0.500 0.970
Tb 0.694 0.000 0.030
Tb 0.806 0.000 0.530
Tb 0.194 0.500 0.470
In 0.010 0.500 0.805
In 0.510 0.000 0.695
In 0.990 0.000 0.195
In 0.490 0.500 0.305



! TbInNiTe3, relaxed, DFT GGA-PBE; values from VASP
! Uncorrected energy: -0.160 Ha/atom
! Total moment: 0.00 μB/f.u.
! Crystal system: orthorhombic
&SYSTEM
  ibrav = 0, nat = 12, ntyp = 4
/
ATOMIC_SPECIES
Ni 58.69 Ni.upf
Tb 158.93 Tb.upf
Te 127.60 Te.upf
In 114.82 In.upf
CELL_PARAMETERS angstrom
7.605 -2.032 0.000
7.605 2.032 0.000
0.000 0.000 11.093
ATOMIC_POSITIONS crystal
Ni 0.525 0.525 0.750
Ni 0.475 0.475 0.250
Tb 0.000 0.000 0.000
Tb 0.000 0.000 0.500
Te 0.360 0.360 0.078
Te 0.919 0.919 0.750
Te 0.360 0.360 0.422
Te 0.640 0.640 0.922
Te 0.081 0.081 0.250
Te 0.640 0.640 0.578
In 0.753 0.753 0.250
In 0.247 0.247 0.750



! TbTmIn2Ni4, relaxed, DFT GGA-PBE; values from VASP
! Uncorrected energy: -0.186 Ha/atom
! Total moment: 0.01 μB/f.u.
! Crystal system: orthorhombic
&SYSTEM
  ibrav = 0, nat = 8, ntyp = 4
/
ATOMIC_SPECIES
Ni 58.69 Ni.upf
In 114.82 In.upf
Tb 158.93 Tb.upf
Tm 168.93 Tm.upf
CELL_PARAMETERS angstrom
-1.149 1.841 3.344
-2.419 -4.206 1.485
5.794 -2.202 3.204
ATOMIC_POSITIONS crystal
Ni 0.000 0.000 0.887
Ni 0.500 0.752 0.002
Ni 0.000 0.500 0.114
Ni 0.500 0.248 0.002
In 0.500 0.000 0.641
In 0.500 0.500 0.356
Tb 0.000 0.500 0.732
Tm 0.000 0.000 0.264



! TbTmIn4Ni2, relaxed, DFT GGA-PBE; values from VASP
! Uncorrected energy: -0.159 Ha/atom
! Total moment: 0.00 μB/f.u.
! Crystal system: orthorhombic
&SYSTEM
  ibrav = 0, nat = 8, ntyp = 4
/
ATOMIC_SPECIES
In 114.82 In.upf
Ni 58.69 Ni.upf
Tb 158.93 Tb.upf
Tm 168.93 Tm.upf
CELL_PARAMETERS angstrom
7.455 0.000 0.000
0.000 2.148 5.213
0.000 -2.148 5.213
ATOMIC_POSITIONS crystal
In 0.202 0.144 0.144
In 0.301 0.856 0.856
In 0.699 0.856 0.856
In 0.798 0.144 0.144
Ni 0.500 0.283 0.283
Ni 0.000 0.718 0.718
Tb 0.000 0.435 0.435
Tm 0.500 0.564 0.564